1.
VASP calculation (PBE) on YTl2Cu3F12 after structural relaxation.

Unit cell a=7.2374 b=7.2374 c=7.2374 alpha=62.69 beta=62.69 gamma=62.69
Closest atoms and distances in Å follow each position.
Sites, in units of the cell vectors:
1 Y 0.0000 0.0000 0.0000  6 F 2.24
2 Tl 0.3846 0.3846 0.3846  3 F 2.93
3 Tl 0.6154 0.6154 0.6154  3 F 2.93
4 Cu 0.0000 0.0000 0.5000  6 F 1.97-1.98
5 Cu 0.0000 0.5000 0.0000  6 F 1.97-1.98
6 Cu 0.5000 0.0000 0.0000  6 F 1.97-1.98
7 F 0.0877 0.7063 0.7063  2 Cu 1.97
8 F 0.1035 0.1035 0.6346  1 Cu 1.98
9 F 0.1035 0.6346 0.1035  1 Cu 1.98
10 F 0.2937 0.2937 0.9123  2 Cu 1.97
11 F 0.2937 0.9123 0.2937  2 Cu 1.97
12 F 0.3654 0.8965 0.8965  1 Cu 1.98
13 F 0.6346 0.1035 0.1035  1 Cu 1.98
14 F 0.7063 0.0877 0.7063  2 Cu 1.97
15 F 0.7063 0.7063 0.0877  2 Cu 1.97
16 F 0.8965 0.3654 0.8965  1 Cu 1.98
17 F 0.8965 0.8965 0.3654  1 Cu 1.98
18 F 0.9123 0.2937 0.2937  2 Cu 1.97

Properties
Size of the total moment, Bohr magnetons per cell: 3.60
Crystal system: trigonal
SG: R-3m, No. 166
Volume, Å³/cell: 284.1
Energy relative to the elements, uncorrected, eV per atom: -2.13



2.
VASP calculation (PBE) on Tl3Zn2CuF9 after structural relaxation.

Unit cell a=5.9205 b=5.9205 c=7.2582 alpha=90.00 beta=90.00 gamma=120.00
Closest atoms and distances in Å follow each position.
Sites, in units of the cell vectors:
1 Tl 0.0000 0.0000 0.0000  12 F 2.96-2.97
2 Tl 0.3333 0.6667 0.6643  12 F 2.94-2.98
3 Tl 0.6667 0.3333 0.3357  12 F 2.94-2.98
4 Zn 0.3333 0.6667 0.1667  6 F 2.09-2.10
5 Zn 0.6667 0.3333 0.8333  6 F 2.09-2.10
6 Cu 0.0000 0.0000 0.5000  6 F 2.09
7 F 0.0000 0.5000 0.0000  2 Zn 2.09
8 F 0.1667 0.3335 0.3339  1 Cu 2.09, 1 Zn 2.10
9 F 0.1667 0.8333 0.3339  1 Cu 2.09, 1 Zn 2.10
10 F 0.3335 0.1667 0.6661  1 Cu 2.09, 1 Zn 2.10
11 F 0.5000 0.0000 0.0000  2 Zn 2.09
12 F 0.5000 0.5000 0.0000  2 Zn 2.09
13 F 0.6665 0.8333 0.3339  1 Cu 2.09, 1 Zn 2.10
14 F 0.8333 0.1667 0.6661  1 Cu 2.09, 1 Zn 2.10
15 F 0.8333 0.6665 0.6661  1 Cu 2.09, 1 Zn 2.10

Properties
Size of the total moment, Bohr magnetons per cell: 1.00
Crystal system: trigonal
SG: P-3m1, No. 164
Volume, Å³/cell: 220.3
Energy relative to the elements, uncorrected, eV per atom: -1.94



3.
VASP calculation (PBE) on Tl2ZnCu2F6 after structural relaxation.

Unit cell a=6.1885 b=6.1885 c=6.9584 alpha=121.74 beta=121.74 gamma=55.58
Closest atoms and distances in Å follow each position.
Sites, in units of the cell vectors:
1 Tl 0.2270 0.2270 0.2627  6 F 2.76-2.95, 1 Cu 3.00
2 Tl 0.7730 0.7730 0.7373  6 F 2.76-2.95, 1 Cu 3.00
3 Zn 0.0000 0.0000 0.5000  6 F 2.06-2.08
4 Cu 0.4187 0.4187 0.0855  3 F 1.91-2.04
5 Cu 0.5813 0.5813 0.9145  3 F 1.91-2.04
6 F 0.2063 0.7036 0.6610  1 Cu 2.04, 1 Zn 2.06
7 F 0.2328 0.2328 0.7712  1 Cu 1.91, 1 Zn 2.08
8 F 0.2964 0.7937 0.3390  1 Cu 2.04, 1 Zn 2.06
9 F 0.7036 0.2063 0.6610  1 Cu 2.04, 1 Zn 2.06
10 F 0.7672 0.7672 0.2288  1 Cu 1.91, 1 Zn 2.08
11 F 0.7937 0.2964 0.3390  1 Cu 2.04, 1 Zn 2.06

Properties
Size of the total moment, Bohr magnetons per cell: 0.13
Crystal system: monoclinic
SG: C2/m, No. 12
Volume, Å³/cell: 176.7
Energy relative to the elements, uncorrected, eV per atom: -1.63



4.
VASP calculation (PBE) on Tm2CuF8 after structural relaxation.

Unit cell a=5.7734 b=5.7734 c=4.7410 alpha=102.66 beta=102.66 gamma=73.93
Closest atoms and distances in Å follow each position.
Sites, in units of the cell vectors:
1 Tm 0.1781 0.1781 0.4059  7 F 2.12-2.29
2 Tm 0.8219 0.8219 0.5941  7 F 2.12-2.29
3 Cu 0.5000 0.5000 0.0000  2 F 1.86
4 F 0.0713 0.0713 0.7752  2 Tm 2.22-2.23
5 F 0.1516 0.5417 0.7229  1 Cu 2.13, 2 Tm 2.20-2.29
6 F 0.3665 0.3665 0.2309  1 Cu 1.86
7 F 0.4583 0.8484 0.2771  1 Cu 2.13, 2 Tm 2.20-2.29
8 F 0.5417 0.1516 0.7229  1 Cu 2.13, 2 Tm 2.20-2.29
9 F 0.6335 0.6335 0.7691  1 Cu 1.86
10 F 0.8484 0.4583 0.2771  1 Cu 2.13, 2 Tm 2.20-2.29
11 F 0.9287 0.9287 0.2248  2 Tm 2.22-2.23

Properties
Size of the total moment, Bohr magnetons per cell: 1.00
Crystal system: monoclinic
SG: C2/m, No. 12
Polymorph energy (0 for the lowest one), meV per atom: 0
Volume, Å³/cell: 146.0
Energy relative to the elements, uncorrected, eV per atom: -3.41



5.
VASP calculation (PBE) on Tm2CuF8 after structural relaxation.

Unit cell a=7.9964 b=7.9964 c=5.7897 alpha=92.72 beta=92.72 gamma=24.16
Closest atoms and distances in Å follow each position.
Sites, in units of the cell vectors:
1 Tm 0.1541 0.1541 0.3431  8 F 2.14-2.33
2 Tm 0.8459 0.8459 0.6569  8 F 2.14-2.33
3 Cu 0.5000 0.5000 0.0000  6 F 2.02-2.10
4 F 0.0156 0.0156 0.2168  2 Cu 2.10, 1 Tm 2.25
5 F 0.2434 0.2434 0.6688  3 Tm 2.29-2.32, 1 F 2.47
6 F 0.3723 0.3723 0.9318  1 Cu 2.02
7 F 0.3925 0.3925 0.4710  2 Tm 2.14
8 F 0.6075 0.6075 0.5290  2 Tm 2.14
9 F 0.6277 0.6277 0.0682  1 Cu 2.02
10 F 0.7566 0.7566 0.3312  3 Tm 2.29-2.32, 1 F 2.47
11 F 0.9844 0.9844 0.7832  2 Cu 2.10, 1 Tm 2.25

Properties
Size of the total moment, Bohr magnetons per cell: 1.00
Crystal system: monoclinic
SG: C2/m, No. 12
Polymorph energy (0 for the lowest one), meV per atom: 74
Volume, Å³/cell: 151.4
Energy relative to the elements, uncorrected, eV per atom: -3.34



6.
VASP calculation (PBE) on UCu2F11 after structural relaxation.

Unit cell a=8.8131 b=8.8131 c=8.8131 alpha=142.02 beta=102.59 gamma=89.64
Closest atoms and distances in Å follow each position.
Sites, in units of the cell vectors:
1 U 0.2500 0.2500 0.0000  4 F 2.03
2 U 0.7500 0.7500 0.0000  4 F 2.03
3 Cu 0.1339 0.7006 0.8345  5 F 1.83-2.02
4 Cu 0.3661 0.2006 0.5667  5 F 1.83-2.02
5 Cu 0.6339 0.7994 0.4333  5 F 1.83-2.02
6 Cu 0.8661 0.2994 0.1655  5 F 1.83-2.02
7 F 0.0000 0.5000 0.5000  2 Cu 1.87
8 F 0.0380 0.4101 0.1468  1 Cu 1.91
9 F 0.0402 0.9706 0.7069  1 U 2.03
10 F 0.2363 0.5294 0.0697  1 U 2.03
11 F 0.2367 0.0899 0.6279  1 Cu 1.91
12 F 0.2469 0.9339 0.1809  2 Cu 1.83-2.02
13 F 0.2531 0.4339 0.6870  2 Cu 1.83-2.02
14 F 0.2633 0.8912 0.8532  1 Cu 1.91
15 F 0.2637 0.3333 0.2931  1 U 2.03
16 F 0.4598 0.1667 0.9303  1 U 2.03
17 F 0.4620 0.6088 0.3721  1 Cu 1.91
18 F 0.5000 0.0000 0.5000  2 Cu 1.87
19 F 0.5380 0.3912 0.6279  1 Cu 1.91
20 F 0.5402 0.8333 0.0697  1 U 2.03
21 F 0.7363 0.6667 0.7069  1 U 2.03
22 F 0.7367 0.1088 0.1468  1 Cu 1.91
23 F 0.7469 0.5661 0.3130  2 Cu 1.83-2.02
24 F 0.7531 0.0661 0.8191  2 Cu 1.83-2.02
25 F 0.7633 0.9101 0.3721  1 Cu 1.91
26 F 0.7637 0.4706 0.9303  1 U 2.03
27 F 0.9598 0.0294 0.2931  1 U 2.03
28 F 0.9620 0.5899 0.8532  1 Cu 1.91

Properties
Size of the total moment, Bohr magnetons per cell: 2.07
Crystal system: orthorhombic
SG: Ibam, No. 72
Volume, Å³/cell: 395.2
Energy relative to the elements, uncorrected, eV per atom: -2.27